Below is a geometry-optimized CuSbRu structure, with properties calculated at the PBE level.

Cell: 4.2735 4.2735 4.2735 Å, 60.00 60.00 60.00°
Last column: nearest neighbours and their distance in Å.
Fractional coordinates of all 3 atoms:
Ru1 0.7500 0.7500 0.7500  4 Cu 2.62, 4 Sb 2.62
Cu1 0.5000 0.5000 0.5000  4 Ru 2.62
Sb1 0.0000 0.0000 0.0000  4 Ru 2.62

Relative energy among the computed polymorphs (eV per formula unit): 0.43
E_form (uncorrected) (eV/f.u.): 0.3
Calculated total energy (eV/atom): -5.718
DOS(E_F) (states/eV per atom): 0.486